# Al3TlV (PBE, relaxed)
# ΔE_f = 53.37 kJ per mole of atoms
# crystal system = cubic
data_Al3TlV
_chemical_formula_sum 'Al3 Tl1 V1'
_space_group_name_H-M_alt 'P 1'
_space_group_IT_number 1
_cell_length_a 4.966
_cell_length_b 4.966
_cell_length_c 4.966
_cell_angle_alpha 90.00
_cell_angle_beta 90.00
_cell_angle_gamma 90.00
loop_
_space_group_symop_operation_xyz
'x,y,z'
loop_
_atom_site_label
_atom_site_type_symbol
_atom_site_fract_x
_atom_site_fract_y
_atom_site_fract_z
Al1 Al 0.500 0.000 0.000
Al2 Al 0.000 0.500 0.000
Al3 Al 0.000 0.000 0.500
V1 V 0.000 0.000 0.000
Tl1 Tl 0.500 0.500 0.500



# CsSrMoN3 (PBE, relaxed)
# crystal system = monoclinic
# electronic total energy = -82.77 eV/cell
data_CsSrMoN3
_chemical_formula_sum 'Cs2 Sr2 Mo2 N6'
_space_group_name_H-M_alt 'P 1'
_space_group_IT_number 1
_cell_length_a 3.617
_cell_length_b 6.799
_cell_length_c 11.980
_cell_angle_alpha 118.79
_cell_angle_beta 90.00
_cell_angle_gamma 105.42
loop_
_space_group_symop_operation_xyz
'x,y,z'
loop_
_atom_site_label
_atom_site_type_symbol
_atom_site_fract_x
_atom_site_fract_y
_atom_site_fract_z
N1 N 0.885 0.770 0.236
N2 N 0.096 0.193 0.214
N3 N 0.904 0.807 0.786
N4 N 0.115 0.230 0.764
N5 N 0.583 0.167 0.416
N6 N 0.417 0.833 0.584
Mo1 Mo 0.953 0.906 0.671
Mo2 Mo 0.047 0.094 0.329
Sr1 Sr 0.328 0.657 0.339
Sr2 Sr 0.672 0.343 0.661
Cs1 Cs 0.618 0.236 0.979
Cs2 Cs 0.382 0.764 0.021



# ZnCoTe2 (PBE, relaxed)
# crystal system = orthorhombic
# electronic total energy = -14.02 eV/cell
data_ZnCoTe2
_chemical_formula_sum 'Zn1 Co1 Te2'
_space_group_name_H-M_alt 'P 1'
_space_group_IT_number 1
_cell_length_a 3.109
_cell_length_b 3.109
_cell_length_c 8.986
_cell_angle_alpha 90.00
_cell_angle_beta 90.00
_cell_angle_gamma 89.85
loop_
_space_group_symop_operation_xyz
'x,y,z'
loop_
_atom_site_label
_atom_site_type_symbol
_atom_site_fract_x
_atom_site_fract_y
_atom_site_fract_z
Co1 Co 0.500 0.500 0.739
Te1 Te 0.000 0.000 0.899
Te2 Te 0.500 0.500 0.293
Zn1 Zn 0.000 0.000 0.570



# CdIn3Ag3 (PBE, relaxed)
# ΔE_f = 41.45 kJ per mole of atoms
# crystal system = cubic
data_CdIn3Ag3
_chemical_formula_sum 'Cd2 In6 Ag6'
_space_group_name_H-M_alt 'P 1'
_space_group_IT_number 1
_cell_length_a 7.769
_cell_length_b 7.769
_cell_length_c 7.769
_cell_angle_alpha 90.00
_cell_angle_beta 90.00
_cell_angle_gamma 90.00
loop_
_space_group_symop_operation_xyz
'x,y,z'
loop_
_atom_site_label
_atom_site_type_symbol
_atom_site_fract_x
_atom_site_fract_y
_atom_site_fract_z
Ag1 Ag 0.500 0.000 0.750
Ag2 Ag 0.000 0.250 0.500
Ag3 Ag 0.750 0.500 0.000
Ag4 Ag 0.500 0.000 0.250
Ag5 Ag 0.000 0.750 0.500
Ag6 Ag 0.250 0.500 0.000
In1 In 0.000 0.500 0.250
In2 In 0.000 0.500 0.750
In3 In 0.500 0.250 0.000
In4 In 0.250 0.000 0.500
In5 In 0.500 0.750 0.000
In6 In 0.750 0.000 0.500
Cd1 Cd 0.000 0.000 0.000
Cd2 Cd 0.500 0.500 0.500



# MgPd5 (PBE, relaxed)
# ΔE_f = -32.73 kJ per mole of atoms
# crystal system = monoclinic
data_MgPd5
_chemical_formula_sum 'Mg2 Pd10'
_space_group_name_H-M_alt 'P 1'
_space_group_IT_number 1
_cell_length_a 4.849
_cell_length_b 5.564
_cell_length_c 8.420
_cell_angle_alpha 90.00
_cell_angle_beta 90.00
_cell_angle_gamma 125.01
loop_
_space_group_symop_operation_xyz
'x,y,z'
loop_
_atom_site_label
_atom_site_type_symbol
_atom_site_fract_x
_atom_site_fract_y
_atom_site_fract_z
Pd1 Pd 0.750 0.000 0.250
Pd2 Pd 0.250 0.500 0.416
Pd3 Pd 0.750 0.500 0.916
Pd4 Pd 0.250 0.000 0.418
Pd5 Pd 0.750 0.000 0.918
Pd6 Pd 0.250 0.500 0.084
Pd7 Pd 0.750 0.000 0.582
Pd8 Pd 0.250 0.000 0.082
Pd9 Pd 0.250 0.000 0.750
Pd10 Pd 0.750 0.500 0.584
Mg1 Mg 0.250 0.500 0.750
Mg2 Mg 0.750 0.500 0.250



# ZrTe2Os (PBE, relaxed)
# crystal system = tetragonal
# electronic total energy = -49.06 eV/cell
data_ZrTe2Os
_chemical_formula_sum 'Zr2 Te4 Os2'
_space_group_name_H-M_alt 'P 1'
_space_group_IT_number 1
_cell_length_a 6.373
_cell_length_b 6.373
_cell_length_c 7.397
_cell_angle_alpha 64.48
_cell_angle_beta 64.48
_cell_angle_gamma 90.00
loop_
_space_group_symop_operation_xyz
'x,y,z'
loop_
_atom_site_label
_atom_site_type_symbol
_atom_site_fract_x
_atom_site_fract_y
_atom_site_fract_z
Zr1 Zr 0.250 0.750 0.500
Zr2 Zr 0.500 0.500 0.000
Te1 Te 0.875 0.911 0.750
Te2 Te 0.661 0.125 0.250
Te3 Te 0.089 0.625 0.250
Te4 Te 0.375 0.339 0.750
Os1 Os 0.750 0.250 0.500
Os2 Os 0.000 0.000 0.000



# Pm6Pr2Er3 (PBE, relaxed)
# ΔE_f = 27.00 kJ per mole of atoms
# crystal system = tetragonal
data_Pm6Pr2Er3
_chemical_formula_sum 'Pm6 Pr2 Er3'
_space_group_name_H-M_alt 'P 1'
_space_group_IT_number 1
_cell_length_a 4.797
_cell_length_b 4.797
_cell_length_c 17.353
_cell_angle_alpha 97.95
_cell_angle_beta 97.95
_cell_angle_gamma 90.00
loop_
_space_group_symop_operation_xyz
'x,y,z'
loop_
_atom_site_label
_atom_site_type_symbol
_atom_site_fract_x
_atom_site_fract_y
_atom_site_fract_z
Pm1 Pm 0.877 0.377 0.755
Pm2 Pm 0.623 0.123 0.245
Pm3 Pm 0.300 0.300 0.600
Pm4 Pm 0.700 0.700 0.400
Pm5 Pm 0.123 0.623 0.245
Pm6 Pm 0.377 0.877 0.755
Er1 Er 0.000 0.000 0.000
Er2 Er 0.801 0.801 0.602
Er3 Er 0.199 0.199 0.398
Pr1 Pr 0.546 0.546 0.091
Pr2 Pr 0.454 0.454 0.909



# LiAl2Mo (PBE, relaxed)
# ΔE_f = -18.01 kJ per mole of atoms
# crystal system = tetragonal
data_LiAl2Mo
_chemical_formula_sum 'Li1 Al2 Mo1'
_space_group_name_H-M_alt 'P 1'
_space_group_IT_number 1
_cell_length_a 4.582
_cell_length_b 2.865
_cell_length_c 4.583
_cell_angle_alpha 90.00
_cell_angle_beta 90.00
_cell_angle_gamma 90.00
loop_
_space_group_symop_operation_xyz
'x,y,z'
loop_
_atom_site_label
_atom_site_type_symbol
_atom_site_fract_x
_atom_site_fract_y
_atom_site_fract_z
Li1 Li 0.000 0.625 0.375
Mo1 Mo 0.500 0.625 0.875
Al1 Al 0.500 0.125 0.375
Al2 Al 0.000 0.125 0.875



# CaMgW2 (PBE, relaxed)
# ΔE_f = 74.05 kJ per mole of atoms
# crystal system = orthorhombic
data_CaMgW2
_chemical_formula_sum 'Ca1 Mg1 W2'
_space_group_name_H-M_alt 'P 1'
_space_group_IT_number 1
_cell_length_a 3.371
_cell_length_b 4.481
_cell_length_c 5.045
_cell_angle_alpha 90.00
_cell_angle_beta 90.00
_cell_angle_gamma 90.00
loop_
_space_group_symop_operation_xyz
'x,y,z'
loop_
_atom_site_label
_atom_site_type_symbol
_atom_site_fract_x
_atom_site_fract_y
_atom_site_fract_z
W1 W 0.000 0.000 0.000
W2 W 0.500 0.500 0.000
Ca1 Ca 0.500 0.000 0.500
Mg1 Mg 0.000 0.500 0.500



# FePRu3 (PBE, relaxed)
# ΔE_f = 80.87 kJ per mole of atoms
# crystal system = cubic
data_FePRu3
_chemical_formula_sum 'Fe1 P1 Ru3'
_space_group_name_H-M_alt 'P 1'
_space_group_IT_number 1
_cell_length_a 4.286
_cell_length_b 4.286
_cell_length_c 4.286
_cell_angle_alpha 90.00
_cell_angle_beta 90.00
_cell_angle_gamma 90.00
loop_
_space_group_symop_operation_xyz
'x,y,z'
loop_
_atom_site_label
_atom_site_type_symbol
_atom_site_fract_x
_atom_site_fract_y
_atom_site_fract_z
P1 P 0.000 0.000 0.000
Ru1 Ru 0.000 0.000 0.500
Ru2 Ru 0.000 0.500 0.000
Ru3 Ru 0.500 0.000 0.000
Fe1 Fe 0.500 0.500 0.500



# Y2Tl2F (PBE, relaxed)
# crystal system = tetragonal
# electronic total energy = -50.51 eV/cell
data_Y2Tl2F
_chemical_formula_sum 'Y4 Tl4 F2'
_space_group_name_H-M_alt 'P 1'
_space_group_IT_number 1
_cell_length_a 6.813
_cell_length_b 6.813
_cell_length_c 5.326
_cell_angle_alpha 90.00
_cell_angle_beta 90.00
_cell_angle_gamma 90.00
loop_
_space_group_symop_operation_xyz
'x,y,z'
loop_
_atom_site_label
_atom_site_type_symbol
_atom_site_fract_x
_atom_site_fract_y
_atom_site_fract_z
Y1 Y 0.830 0.670 0.000
Y2 Y 0.170 0.330 0.000
Y3 Y 0.670 0.170 0.000
Y4 Y 0.330 0.830 0.000
Tl1 Tl 0.843 0.343 0.500
Tl2 Tl 0.657 0.843 0.500
Tl3 Tl 0.157 0.657 0.500
Tl4 Tl 0.343 0.157 0.500
F1 F 0.000 0.000 0.000
F2 F 0.500 0.500 0.000



# Sr3GeH2 (PBE, relaxed)
# crystal system = orthorhombic
# electronic total energy = -38.83 eV/cell
data_Sr3GeH2
_chemical_formula_sum 'Sr6 Ge2 H4'
_space_group_name_H-M_alt 'P 1'
_space_group_IT_number 1
_cell_length_a 5.235
_cell_length_b 7.827
_cell_length_c 7.827
_cell_angle_alpha 105.94
_cell_angle_beta 90.00
_cell_angle_gamma 90.00
loop_
_space_group_symop_operation_xyz
'x,y,z'
loop_
_atom_site_label
_atom_site_type_symbol
_atom_site_fract_x
_atom_site_fract_y
_atom_site_fract_z
Sr1 Sr 0.250 0.423 0.179
Sr2 Sr 0.250 0.890 0.110
Sr3 Sr 0.750 0.110 0.890
Sr4 Sr 0.750 0.179 0.423
Sr5 Sr 0.750 0.577 0.821
Sr6 Sr 0.250 0.821 0.577
H1 H 0.500 0.159 0.159
H2 H 0.000 0.159 0.159
H3 H 0.000 0.841 0.841
H4 H 0.500 0.841 0.841
Ge1 Ge 0.250 0.290 0.710
Ge2 Ge 0.750 0.710 0.290



The evaluated total magnetization for the records listed, in turn: 2.76 0.00 0.00 0.00 0.00 0.00 0.00 0.00 0.00 0.27 0.00 0.00 μB/f.u..